Entry 1:
A plane-wave DFT calculation with PBE was carried out for a relaxed structure of ReTcC.

Structure (CIF):
```
data_ReTcC
_cell_length_a 2.967
_cell_length_b 2.967
_cell_length_c 9.933
_cell_angle_alpha 90.00
_cell_angle_beta 90.00
_cell_angle_gamma 120.00
_symmetry_space_group_name_H-M 'P 1'
_symmetry_Int_Tables_number 1
loop_
_symmetry_equiv_pos_as_xyz
'x,y,z'
loop_
_atom_site_label
_atom_site_fract_x
_atom_site_fract_y
_atom_site_fract_z
_atom_site_occupancy
Re1 0.333 0.667 0.000 1
Re2 0.667 0.333 0.500 1
Tc1 0.333 0.667 0.744 1
Tc2 0.667 0.333 0.244 1
C1 0.000 0.000 0.124 1
C2 0.000 0.000 0.624 1
```

Results
SG: P6_3mc
Magnetic moment (μB/cell): 0.001
Energy relative to the elements (eV per atom): 0.50

***

Entry 2:
A plane-wave DFT calculation with PBE was carried out for a relaxed structure of Nd7YCd2.

Structure (CIF):
```
data_Nd7YCd2
_cell_length_a 9.339
_cell_length_b 9.339
_cell_length_c 5.369
_cell_angle_alpha 90.00
_cell_angle_beta 90.00
_cell_angle_gamma 121.77
_symmetry_space_group_name_H-M 'P 1'
_symmetry_Int_Tables_number 1
loop_
_symmetry_equiv_pos_as_xyz
'x,y,z'
loop_
_atom_site_label
_atom_site_fract_x
_atom_site_fract_y
_atom_site_fract_z
_atom_site_occupancy
Nd1 0.000 0.000 0.000 1
Nd2 0.200 0.434 0.000 1
Nd3 0.278 0.722 0.500 1
Nd4 0.434 0.200 0.000 1
Nd5 0.566 0.800 0.000 1
Nd6 0.722 0.278 0.500 1
Nd7 0.800 0.566 0.000 1
Y1 0.500 0.500 0.500 1
Cd1 0.197 0.803 0.000 1
Cd2 0.803 0.197 0.000 1
```

Results
SG: Cmmm
Magnetic moment (μB/cell): 0.001
Energy relative to the elements (eV per atom): 0.37

***

Entry 3:
A plane-wave DFT calculation with PBE was carried out for a relaxed structure of LiCrGe2Rh.

Structure (CIF):
```
data_LiCrGe2Rh
_cell_length_a 4.674
_cell_length_b 4.674
_cell_length_c 4.362
_cell_angle_alpha 90.00
_cell_angle_beta 90.00
_cell_angle_gamma 90.00
_symmetry_space_group_name_H-M 'P 1'
_symmetry_Int_Tables_number 1
loop_
_symmetry_equiv_pos_as_xyz
'x,y,z'
loop_
_atom_site_label
_atom_site_fract_x
_atom_site_fract_y
_atom_site_fract_z
_atom_site_occupancy
Li1 0.000 0.000 0.000 1
Cr1 0.500 0.500 0.000 1
Ge1 0.000 0.500 0.500 1
Ge2 0.500 0.000 0.500 1
Rh1 0.000 0.000 0.500 1
```

Results
SG: P4/mmm
Magnetic moment (μB/cell): 0.162
Energy relative to the elements (eV per atom): 0.73

***

Q: The lowest energy relative to the elements belongs to which entry?
A: Nd7YCd2

***

Q: Number 2 is which compound?
A: Nd7YCd2

***

Please write out number 3 again, unchanged.
A plane-wave DFT calculation with PBE was carried out for a relaxed structure of LiCrGe2Rh.

Structure (CIF):
```
data_LiCrGe2Rh
_cell_length_a 4.674
_cell_length_b 4.674
_cell_length_c 4.362
_cell_angle_alpha 90.00
_cell_angle_beta 90.00
_cell_angle_gamma 90.00
_symmetry_space_group_name_H-M 'P 1'
_symmetry_Int_Tables_number 1
loop_
_symmetry_equiv_pos_as_xyz
'x,y,z'
loop_
_atom_site_label
_atom_site_fract_x
_atom_site_fract_y
_atom_site_fract_z
_atom_site_occupancy
Li1 0.000 0.000 0.000 1
Cr1 0.500 0.500 0.000 1
Ge1 0.000 0.500 0.500 1
Ge2 0.500 0.000 0.500 1
Rh1 0.000 0.000 0.500 1
```

Results
SG: P4/mmm
Magnetic moment (μB/cell): 0.162
Energy relative to the elements (eV per atom): 0.73